CuMoAu2 | GGA-PBE | optimized geometry

```
4
Lattice="-2.142 -1.244 -1.304 0.738 -2.453 1.129 -4.750 1.502 6.368" Properties=species:S:1:pos:R:3 pbc="T T T"
Mo -4.264 -0.722 4.688
Cu -1.889 -1.473 1.504
Au -0.055 0.017 0.074
Au -2.320 0.733 3.110
```

Summary:
The total energy comes out at -20.97 eV for the cell shown. The calculation puts the formation energy at 0.128 eV per atom.